NaNi2Ge2: PBEsol geometry, SCAN.

abc: 3.9325 3.9325 5.7654
angles: 109.94 109.94 90.00
Last column: nearest neighbours and their distance in Å.
Fractional coordinates of all 5 atoms:
Ni1 0.2500 0.7500 0.5000  4 Ge 2.33
Na1 0.0000 0.0000 0.0000  8 Ge 3.06, 8 Ni 3.20
Ni2 0.7500 0.2500 0.5000  4 Ge 2.33
Ge1 0.3734 0.3734 0.7468  4 Ni 2.33, 1 Ge 2.56
Ge2 0.6266 0.6266 0.2532  4 Ni 2.33, 1 Ge 2.56

Output
Crystal system ... tetragonal



Na4GeO4: PBEsol geometry, SCAN.

abc: 5.6791 5.6950 8.5962
angles: 81.46 71.36 68.22
Last column: nearest neighbours and their distance in Å.
Fractional coordinates of all 18 atoms:
O1 0.2034 0.4742 0.1248  1 Ge 1.79
O2 0.1395 0.0306 0.3054  1 Ge 1.78
Na1 0.1089 0.2281 0.6797  4 O 2.32-2.36
Ge1 0.6569 0.7785 0.7446  4 O 1.76-1.79
O3 0.3521 0.3456 0.4283  1 Ge 1.76
Na2 0.9792 0.2350 0.0652  5 O 2.34-2.48
Na3 0.7407 0.2571 0.4875  4 O 2.28-2.33
O4 0.8605 0.9694 0.6946  1 Ge 1.78
O5 0.6632 0.0303 0.1387  1 Ge 1.79
Na4 0.2593 0.7429 0.5125  4 O 2.28-2.33
O6 0.3368 0.9697 0.8613  1 Ge 1.79
Na5 0.5523 0.2592 0.8968  5 O 2.36-2.49
Na6 0.4477 0.7408 0.1032  5 O 2.36-2.49
Na7 0.8911 0.7719 0.3203  4 O 2.32-2.36
O7 0.7966 0.5258 0.8752  1 Ge 1.79
Na8 0.0208 0.7650 0.9348  5 O 2.34-2.48
O8 0.6479 0.6544 0.5717  1 Ge 1.76
Ge2 0.3431 0.2215 0.2554  4 O 1.76-1.79

Output
Crystal system ... triclinic
Raw formation energy ... -1633 kJ/mol of formula units



Na2Ge2O5: PBEsol geometry, SCAN.

abc: 5.6088 8.6571 9.6666
angles: 90.00 90.00 90.00
Last column: nearest neighbours and their distance in Å.
Fractional coordinates of all 36 atoms:
O1 0.5808 0.5797 0.8852  2 Ge 1.79-1.80
O2 0.3698 0.2738 0.8839  2 Ge 1.77-1.81
O3 0.4192 0.5797 0.3852  2 Ge 1.79-1.80
Ge1 0.6094 0.9530 0.2117  4 O 1.70-1.81
O4 0.1563 0.2500 0.5060  1 Ge 1.71
Na1 0.0373 0.5106 0.5072  5 O 2.34-2.56
Na2 0.0373 0.0106 0.9928  5 O 2.34-2.56
Na3 0.9627 0.5106 0.0072  5 O 2.34-2.56
O5 0.8437 0.2500 0.0060  1 Ge 1.71
Ge2 0.4563 0.7495 0.9651  4 O 1.71-1.81
O6 0.4249 0.8993 0.3545  2 Ge 1.79-1.81
O7 0.6302 0.2738 0.3839  2 Ge 1.77-1.81
O8 0.8437 0.7500 0.4940  1 Ge 1.71
Ge3 0.4563 0.2495 0.5349  4 O 1.71-1.81
O9 0.5808 0.0797 0.6148  2 Ge 1.79-1.80
O10 0.1024 0.5019 0.7552  1 Ge 1.70
Ge4 0.6094 0.4530 0.2883  4 O 1.70-1.81
O11 0.6302 0.7738 0.1161  2 Ge 1.77-1.81
O12 0.8976 0.5019 0.2552  1 Ge 1.70
Na4 0.9323 0.2466 0.7527  3 O 2.32-2.50
Na5 0.0677 0.2466 0.2527  3 O 2.32-2.50
O13 0.1563 0.7500 0.9940  1 Ge 1.71
Ge5 0.5437 0.7495 0.4651  4 O 1.71-1.81
Ge6 0.5437 0.2495 0.0349  4 O 1.71-1.81
O14 0.5751 0.3993 0.6455  2 Ge 1.79-1.81
Na6 0.9323 0.7466 0.7473  3 O 2.32-2.50
O15 0.4249 0.3993 0.1455  2 Ge 1.79-1.81
O16 0.1024 0.0019 0.7448  1 Ge 1.70
Ge7 0.3906 0.4530 0.7883  4 O 1.70-1.81
O17 0.4192 0.0797 0.1148  2 Ge 1.79-1.80
O18 0.5751 0.8993 0.8545  2 Ge 1.79-1.81
Ge8 0.3906 0.9530 0.7117  4 O 1.70-1.81
O19 0.8976 0.0019 0.2448  1 Ge 1.70
Na7 0.9627 0.0106 0.4928  5 O 2.34-2.56
Na8 0.0677 0.7466 0.2473  3 O 2.32-2.50
O20 0.3698 0.7738 0.6161  2 Ge 1.77-1.81

Output
Crystal system ... orthorhombic
Raw formation energy ... -1642 kJ/mol of formula units
Energy above the most stable polymorph in this dataset ... 0.0 meV/atom



The evaluated uncorrected energy for the records listed, in turn: -15.211, -8.644, -10.531 eV per atom.